## Er2GaCo (PBE)

Data for a geometry-optimized Er2GaCo structure.

Computed properties:
- Crystal system: trigonal
- Calculated total energy: -54.228 eV for the cell shown

a = 3.2914 Å, b = 3.2914 Å, c = 28.7052 Å
α = 90.00°, β = 90.00°, γ = 120.00°
Space group R-3m (No. 166, hexagonal axes)
Inequivalent atoms, fractional coordinates:
Er: 0.0000 0.0000 0.0856 (multiplicity 6)
Ga: 0.0000 0.0000 0.5000 (multiplicity 3)
Co: 0.0000 0.0000 0.0000 (multiplicity 3)